# Sn2HgSbRu

A relaxed Sn2HgSbRu crystal (GGA-PBE, the Alexandria database).

Properties
energy relative to the elements, uncorrected: 1.399 eV per atom

Unit cell a=5.7515 b=5.7515 c=5.3303 alpha=90.00 beta=90.00 gamma=90.00
With the nearest neighbours (Å) after each atom.
Space group P4/mmm (No. 123)
Inequivalent atoms, fractional coordinates:
Sn 0.0000 0.5000 0.0000 x2  2 Sb 2.88
Hg 0.0000 0.0000 0.5000 x1  2 Sb 2.67
Sb 0.0000 0.0000 0.0000 x1  2 Hg 2.67, 4 Sn 2.88
Ru 0.5000 0.5000 0.5000 x1  8 Sn 3.92, 4 Hg 4.07

---

# PrPuCoN3

A relaxed PrPuCoN3 crystal (GGA-PBE, the Alexandria database).

Properties
energy relative to the elements, uncorrected: -0.834 eV per atom

Unit cell a=7.1992 b=3.4081 c=7.2891 alpha=90.00 beta=100.47 gamma=90.00
With the nearest neighbours (Å) after each atom.
Space group P2_1/m (No. 11)
Inequivalent atoms, fractional coordinates:
Pr 0.1751 0.2500 0.2085 x2  7 N 2.54-2.77
Pu 0.3434 0.7500 0.8270 x2  6 N 2.24-2.50
Co 0.0883 0.2500 0.5836 x2  4 N 1.89-1.97
N 0.1329 0.2500 0.8549 x2  1 Co 1.95
N 0.1765 0.7500 0.4943 x2  3 Co 1.89-1.97
N 0.4293 0.7500 0.1387 x2  3 Pu 2.24-2.34

---

# Sm5Ge2Sb2

A relaxed Sm5Ge2Sb2 crystal (GGA-PBE, the Alexandria database).

Properties
energy relative to the elements, uncorrected: -0.976 eV per atom

Unit cell a=15.4954 b=8.0845 c=8.1140 alpha=90.00 beta=90.00 gamma=90.00
With the nearest neighbours (Å) after each atom.
Space group Cmce (No. 64)
Inequivalent atoms, fractional coordinates:
Sm 0.0000 0.0000 0.0000 x4  4 Ge 3.15-3.17, 2 Sb 3.18
Sm 0.1288 0.1677 0.3341 x16  3 Ge 3.03-3.16, 3 Sb 3.21-3.25
Ge 0.0000 0.1343 0.6335 x8  8 Sm 3.03-3.17, 1 Ge 3.07
Sb 0.2050 0.0000 0.0000 x8  7 Sm 3.18-3.25

---

# Sr3ZnAg2

A relaxed Sr3ZnAg2 crystal (GGA-PBE, the Alexandria database).

Properties
energy of formation from the pure elements: -0.267 eV per atom

Unit cell a=12.8489 b=4.6676 c=12.9840 alpha=90.00 beta=90.00 gamma=90.00
With the nearest neighbours (Å) after each atom.
Space group Pnma (No. 62)
Inequivalent atoms, fractional coordinates:
Sr 0.0531 0.2500 0.1267 x4  1 Zn 3.30, 5 Ag 3.41-3.57
Sr 0.1213 0.7500 0.5605 x4  3 Zn 3.28-3.39, 5 Ag 3.39-3.42
Sr 0.2119 0.2500 0.8019 x4  2 Zn 3.27, 4 Ag 3.36-3.44
Zn 0.1244 0.2500 0.3712 x4  3 Ag 2.74-2.79
Ag 0.0272 0.7500 0.3166 x4  2 Zn 2.74
Ag 0.1969 0.7500 0.9929 x4  1 Zn 2.79

---

In order of appearance, mass density = 6.2; 9.2; 7.5; 4.6 g/cm³.